[1]
Material: LuAlFe
Method: DFT, GGA-PBE
State: optimized geometry

## Properties
Uncorrected energy: -5.915 eV per atom
Fermi-level density of states: 0.663 states/eV per atom
Energy of formation from the pure elements: -0.34 eV per atom

abc: 8.4675 5.3074 9.2052
angles: 90.00 90.00 90.00
Space group Amm2 (No. 38)
Symmetry-distinct sites (fractional):
Lu (0.1841, 0.0000, 0.0000) x4
Lu (0.2996, 0.0000, 0.6694) x4
Al (0.0000, 0.0000, 0.4964) x2
Al (0.5000, 0.0000, 0.1667) x2
Al (0.5000, 0.2447, 0.4140) x4
Fe (0.0000, 0.2481, 0.7530) x4
Fe (0.2384, 0.0000, 0.3227) x4

---

[2]
Material: Hg2OsPb
Method: DFT, GGA-PBE
State: optimized geometry

## Properties
Uncorrected energy: -3.129 eV per atom
Fermi-level density of states: 0.594 states/eV per atom
Energy of formation from the pure elements: 0.76 eV per atom

abc: 3.4562 3.9711 6.1879
angles: 90.00 90.00 90.00
Space group Pmm2 (No. 25)
Symmetry-distinct sites (fractional):
Hg (0.0000, 0.0000, 0.0000) x1
Hg (0.5000, 0.5000, 0.2371) x1
Os (0.0000, 0.0000, 0.4810) x1
Pb (0.5000, 0.5000, 0.7019) x1

---

[3]
Material: Sb2P3O12
Method: DFT, GGA-PBE
State: optimized geometry

## Properties
Offset from the most stable computed form: 5.1 meV/atom
Uncorrected energy: -6.756 eV per atom
Fermi-level density of states: 0.201 states/eV per atom

abc: 8.5835 8.8497 14.6603
angles: 90.00 124.51 90.00
Space group P2_1/c (No. 14)
Symmetry-distinct sites (fractional):
Sb (0.1341, 0.0327, 0.3837) x4
Sb (0.3619, 0.0314, 0.1139) x4
P (0.0392, 0.7436, 0.5035) x4
P (0.2502, 0.1154, 0.8522) x4
P (0.4709, 0.6215, 0.8531) x4
O (0.0053, 0.6341, 0.9198) x4
O (0.0392, 0.6958, 0.1019) x4
O (0.0768, 0.0110, 0.7882) x4
O (0.1168, 0.1222, 0.0639) x4
O (0.2072, 0.2164, 0.3221) x4
O (0.2329, 0.6656, 0.5463) x4
O (0.3299, 0.0632, 0.5576) x4
O (0.3370, 0.6265, 0.8915) x4
O (0.3470, 0.0951, 0.9789) x4
O (0.3783, 0.5146, 0.7507) x4
O (0.3965, 0.0745, 0.8250) x4
O (0.4881, 0.7188, 0.3129) x4

---

[4]
Material: Tb2Dy6In
Method: DFT, GGA-PBE
State: optimized geometry

## Properties
Offset from the most stable computed form: 55.4 meV/atom
Uncorrected energy: -4.361 eV per atom
Fermi-level density of states: 1.514 states/eV per atom
Energy of formation from the pure elements: 0.04 eV per atom

abc: 14.9847 8.4513 9.0675
angles: 90.00 100.32 90.00
Space group C2/c (No. 15)
Symmetry-distinct sites (fractional):
Tb (0.2226, 0.0860, 0.3586) x8
Dy (0.0817, 0.1908, 0.6220) x8
Dy (0.1125, 0.4497, 0.3309) x8
Dy (0.1422, 0.2256, 0.0273) x8
In (0.0000, 0.1224, 0.2500) x4

---

[5]
Material: PrEr2Pd
Method: DFT, GGA-PBE
State: optimized geometry

## Properties
Offset from the most stable computed form: 0.0 meV/atom
Uncorrected energy: -5.234 eV per atom
Fermi-level density of states: 1.067 states/eV per atom
Energy of formation from the pure elements: -0.46 eV per atom

abc: 7.1168 9.6902 6.5435
angles: 90.00 90.00 90.00
Space group Pnma (No. 62)
Symmetry-distinct sites (fractional):
Pr (0.0147, 0.2500, 0.1348) x4
Er (0.1782, 0.0610, 0.6719) x8
Pd (0.1126, 0.7500, 0.4194) x4

---

[6]
Material: VCuRe
Method: DFT, GGA-PBE
State: optimized geometry

## Properties
Offset from the most stable computed form: 0.0 meV/atom
Uncorrected energy: -8.492 eV per atom
Fermi-level density of states: 0.967 states/eV per atom
Energy of formation from the pure elements: 0.06 eV per atom

abc: 4.2987 4.2987 2.5459
angles: 90.00 90.00 120.00
Space group P3m1 (No. 156)
Symmetry-distinct sites (fractional):
V (0.0000, 0.0000, 0.0000) x1
Cu (0.3333, 0.6667, 0.2968) x1
Re (0.6667, 0.3333, 0.6849) x1

---

[7]
Material: LaAl2Co
Method: DFT, GGA-PBE
State: optimized geometry

## Properties
Uncorrected energy: -4.908 eV per atom
Fermi-level density of states: 1.125 states/eV per atom
Energy of formation from the pure elements: -0.03 eV per atom

abc: 5.0530 5.0530 15.1492
angles: 90.00 90.00 90.00
Space group I4_1/amd (No. 141, origin choice 2)
Symmetry-distinct sites (fractional):
La (0.0000, 0.2500, 0.3750) x4
Al (0.0000, 0.0000, 0.0000) x8
Co (0.0000, 0.2500, 0.8750) x4

---

[8]
Material: RbTi3P
Method: DFT, GGA-PBE
State: optimized geometry

## Properties
Offset from the most stable computed form: 1693.2 meV/atom
Uncorrected energy: -3.847 eV per atom
Fermi-level density of states: 1.391 states/eV per atom
Energy of formation from the pure elements: 2.17 eV per atom

abc: 4.6504 4.6504 4.6504
angles: 90.00 90.00 90.00
Space group Pm-3m (No. 221)
Symmetry-distinct sites (fractional):
Rb (0.0000, 0.0000, 0.0000) x1
Ti (0.0000, 0.0000, 0.5000) x3
P (0.5000, 0.5000, 0.5000) x1

---

[9]
Material: HF
Method: DFT, GGA-PBE
State: optimized geometry

## Properties
Offset from the most stable computed form: 63.4 meV/atom
Uncorrected energy: -4.146 eV per atom
Fermi-level density of states: 0.000 states/eV per atom

abc: 7.5690 3.2617 4.7763
angles: 90.00 90.00 90.00
Space group Pmn2_1 (No. 31)
Symmetry-distinct sites (fractional):
H (0.0000, 0.0623, 0.0000) x2
H (0.2060, 0.8057, 0.2622) x4
F (0.0000, 0.9346, 0.1842) x2
F (0.1724, 0.2774, 0.7675) x4

---

[10]
Material: TmTl2Sn
Method: DFT, GGA-PBE
State: optimized geometry

## Properties
Offset from the most stable computed form: 348.5 meV/atom
Uncorrected energy: -3.189 eV per atom
Fermi-level density of states: 0.617 states/eV per atom
Energy of formation from the pure elements: 0.11 eV per atom

abc: 3.5237 3.5237 34.2405
angles: 90.00 90.00 120.00
Space group R-3m (No. 166, hexagonal axes)
Symmetry-distinct sites (fractional):
Tm (0.0000, 0.0000, 0.0000) x3
Tl (0.0000, 0.0000, 0.0900) x6
Sn (0.0000, 0.0000, 0.5000) x3

---

[11]
Material: In2PtPb
Method: DFT, GGA-PBE
State: optimized geometry

## Properties
Uncorrected energy: -3.768 eV per atom
Fermi-level density of states: 0.556 states/eV per atom
Energy of formation from the pure elements: 0.04 eV per atom

abc: 4.5884 4.5884 4.4204
angles: 90.00 90.00 90.00
Space group P4/mmm (No. 123)
Symmetry-distinct sites (fractional):
In (0.0000, 0.5000, 0.0000) x2
Pt (0.0000, 0.0000, 0.5000) x1
Pb (0.5000, 0.5000, 0.5000) x1

---

[12]
Material: YRhCl4
Method: DFT, GGA-PBE
State: optimized geometry

## Properties
Uncorrected energy: -3.361 eV per atom
Fermi-level density of states: 1.356 states/eV per atom

abc: 8.0876 8.0876 8.0876
angles: 90.00 90.00 90.00
Space group F-43m (No. 216)
Symmetry-distinct sites (fractional):
Y (0.0000, 0.0000, 0.0000) x4
Rh (0.2500, 0.2500, 0.2500) x4
Cl (0.1249, 0.1249, 0.6249) x16